# 1
A plane-wave DFT calculation with GGA-PBE was carried out for a geometry-optimized DyLuGeAu structure.

Cell and atoms, written as POSCAR:
```
DyLuGeAu
1.0
0.0000 3.5577 3.5577
3.5577 0.0000 3.5577
3.5577 3.5577 0.0000
Dy Lu Ge Au
1 1 1 1
Cartesian
0.0000 0.0000 0.0000 Dy
3.5577 3.5577 3.5577 Lu
1.7789 1.7789 1.7789 Ge
5.3366 5.3366 5.3366 Au
```

As for the symmetry: No. 216. Its formation energy is -0.7378 eV/atom. The value obtained for the volume is 90.1 Å³/cell.

# 2
A plane-wave DFT calculation with GGA-PBE was carried out for a geometry-optimized SrMnIr2 structure.

Cell and atoms, written as POSCAR:
```
SrMnIr2
1.0
5.2195 -1.5228 0.0000
5.2195 1.5228 0.0000
-2.1993 0.0000 5.1081
Sr Mn Ir
1 1 2
Cartesian
0.0000 0.0000 0.0000 Sr
7.7747 0.0000 1.6031 Mn
1.1589 0.0000 2.9965 Ir
4.2504 0.0000 2.7546 Ir
```

As for the symmetry: No. 8. Its formation energy is 0.2063 eV/atom. For the energy above the most stable polymorph in this dataset, the calculation gives 281 meV/atom. The value obtained for the volume is 81.2 Å³/cell.